NaBi2As2 | PBE | optimized geometry

Cell: 8.4573 8.4573 3.9127 Å, 90.00 90.00 90.00°
Fractional coordinates of all 10 atoms:
As (0.3158, 0.1842, 0.5000)
As (0.6842, 0.8158, 0.5000)
As (0.1842, 0.6842, 0.5000)
As (0.8158, 0.3158, 0.5000)
Bi (0.1456, 0.3544, 0.0000)
Bi (0.3544, 0.8544, 0.0000)
Bi (0.8544, 0.6456, 0.0000)
Bi (0.6456, 0.1456, 0.0000)
Na (0.0000, 0.0000, 0.0000)
Na (0.5000, 0.5000, 0.0000)

Space group: P4/mbm
Formation enthalpy at 0 K in meV/atom: 57
Excess energy over the best structure of this formula in the dataset in meV/atom: 177

PbCCl3 | PBE | optimized geometry

Cell: 5.4694 5.4694 5.4694 Å, 90.00 90.00 90.00°
Site moments in Bohr magnetons follow the coordinates.
Fractional coordinates of all 5 atoms:
Cl (0.0000, 0.5000, 0.0000)  -0.01
Cl (0.5000, 0.0000, 0.0000)  -0.03
Cl (0.0000, 0.0000, 0.5000)  -0.03
C (0.5000, 0.5000, 0.5000)  0.88
Pb (0.0000, 0.0000, 0.0000)  0.00

Space group: Pm-3m
Excess energy over the best structure of this formula in the dataset in meV/atom: 404

AlFeTc2P | PBE | optimized geometry

Cell: 4.3863 4.3863 4.0503 Å, 90.00 90.00 90.00°
Site moments in Bohr magnetons follow the coordinates.
Fractional coordinates of all 5 atoms:
Al (0.5000, 0.5000, 0.5000)  -0.02
P (0.0000, 0.0000, 0.0000)  -0.03
Tc (0.5000, 0.0000, 0.0000)  0.20
Tc (0.0000, 0.5000, 0.0000)  0.20
Fe (0.0000, 0.0000, 0.5000)  1.52

Space group: P4/mmm
Formation enthalpy at 0 K in meV/atom: 211

NaBeCrPb2 | PBE | optimized geometry

Cell: 5.1702 4.5569 5.1702 Å, 90.00 90.00 90.00°
Site moments in Bohr magnetons follow the coordinates.
Fractional coordinates of all 5 atoms:
Pb (0.5000, 0.0000, 0.0000)  -0.08
Pb (0.0000, 0.0000, 0.5000)  -0.04
Na (0.5000, 0.5000, 0.5000)  -0.01
Cr (0.0000, 0.0000, 0.0000)  1.31
Be (0.0000, 0.5000, 0.0000)  -0.02

Space group: P4/mmm
Formation enthalpy at 0 K in meV/atom: 518

Y7Mg2Cu3 | PBE | optimized geometry

Cell: 11.8372 11.8372 11.8372 Å, 31.06 31.06 31.06°
Fractional coordinates of all 12 atoms:
Mg (0.3333, 0.3333, 0.3333)
Mg (0.6667, 0.6667, 0.6667)
Y (0.5776, 0.0789, 0.5776)
Y (0.4224, 0.4224, 0.9211)
Y (0.5000, 0.5000, 0.5000)
Y (0.0789, 0.5776, 0.5776)
Y (0.5776, 0.5776, 0.0789)
Y (0.9211, 0.4224, 0.4224)
Y (0.4224, 0.9211, 0.4224)
Cu (0.0753, 0.0753, 0.0753)
Cu (0.9247, 0.9247, 0.9247)
Cu (0.0000, 0.0000, 0.0000)

Space group: R-3m
Formation enthalpy at 0 K in meV/atom: 647

PaTeP | PBE | optimized geometry

Cell: 4.3048 4.3048 7.9907 Å, 90.00 90.00 90.00°
Fractional coordinates of all 6 atoms:
P (0.0000, 0.0000, 0.5000)
P (0.5000, 0.5000, 0.5000)
Pa (0.5000, 0.0000, 0.7119)
Pa (0.0000, 0.5000, 0.2881)
Te (0.0000, 0.5000, 0.8723)
Te (0.5000, 0.0000, 0.1277)

Space group: P4/nmm
Excess energy over the best structure of this formula in the dataset in meV/atom: 0

InAuS2 | PBE | optimized geometry

Cell: 5.3107 5.3107 6.8857 Å, 67.32 67.32 90.00°
Fractional coordinates of all 8 atoms:
Au (0.7500, 0.2500, 0.5000)
Au (0.0000, 0.0000, 0.0000)
S (0.0152, 0.5152, 0.9695)
S (0.7348, 0.7348, 0.5305)
S (0.4848, 0.9848, 0.0305)
S (0.2652, 0.2652, 0.4695)
In (0.5000, 0.5000, 0.0000)
In (0.2500, 0.7500, 0.5000)

Space group: I4_1/amd
VASP energy in eV per atom: -3.756

YMg2Os | PBE | optimized geometry

Cell: 5.9103 5.9103 3.1518 Å, 77.35 77.35 122.91°
Site moments in Bohr magnetons follow the coordinates.
Fractional coordinates of all 4 atoms:
Mg (0.5000, 0.5000, 0.0000)  0.00
Mg (0.0000, 0.0000, 0.0000)  0.00
Y (0.0000, 0.5000, 0.5000)  -0.02
Os (0.5000, 0.0000, 0.5000)  0.44

Space group: C2/m
Formation enthalpy at 0 K in meV/atom: 278
Excess energy over the best structure of this formula in the dataset in meV/atom: 294

TiMnPt14 | PBE | optimized geometry

Cell: 5.6114 5.6114 7.8477 Å, 90.00 90.00 90.00°
Site moments in Bohr magnetons follow the coordinates.
Fractional coordinates of all 16 atoms:
Pt (0.1242, 0.1242, 0.2574)  0.03
Pt (0.6258, 0.1242, 0.2574)  0.03
Pt (0.8750, 0.3750, 0.0000)  0.04
Pt (0.1242, 0.1242, 0.7426)  0.03
Pt (0.3750, 0.8750, 0.0000)  0.04
Pt (0.1242, 0.6258, 0.7426)  0.03
Pt (0.8750, 0.8750, 0.0000)  -0.20
Pt (0.6258, 0.6258, 0.7426)  0.03
Pt (0.6258, 0.6258, 0.2574)  0.03
Pt (0.3750, 0.3750, 0.0000)  0.06
Pt (0.1242, 0.6258, 0.2574)  0.03
Pt (0.8750, 0.3750, 0.5000)  0.07
Pt (0.6258, 0.1242, 0.7426)  0.03
Pt (0.3750, 0.8750, 0.5000)  0.07
Ti (0.8750, 0.8750, 0.5000)  -0.04
Mn (0.3750, 0.3750, 0.5000)  3.69

Space group: P4/mmm
Formation enthalpy at 0 K in meV/atom: -327

TiVH | PBE | optimized geometry

Cell: 4.8071 2.7919 2.7919 Å, 120.00 90.00 90.00°
Fractional coordinates of all 3 atoms:
H (0.0220, 0.0000, 0.0000)
Ti (0.7302, 0.6667, 0.3333)
V (0.2478, 0.3333, 0.6667)

Space group: P3m1
Excess energy over the best structure of this formula in the dataset in meV/atom: 143

ScCdRh | PBE | optimized geometry

Cell: 4.4975 4.4975 4.4975 Å, 60.00 60.00 60.00°
Fractional coordinates of all 3 atoms:
Sc (0.0000, 0.0000, 0.0000)
Rh (0.2500, 0.2500, 0.2500)
Cd (0.5000, 0.5000, 0.5000)

Space group: F-43m
Formation enthalpy at 0 K in meV/atom: -411

YbBe2H6 | PBE | optimized geometry

Cell: 4.8389 4.9972 4.2937 Å, 71.40 57.78 76.33°
Site moments in Bohr magnetons follow the coordinates.
Fractional coordinates of all 9 atoms:
H (0.5617, 0.7568, 0.4797)  0.00
H (0.0819, 0.2417, 0.3086)  0.00
H (0.6450, 0.3304, 0.8745)  0.00
H (0.9181, 0.7583, 0.6914)  0.00
H (0.3550, 0.6696, 0.1255)  0.00
H (0.4383, 0.2432, 0.5203)  0.00
Be (0.3530, 0.3577, 0.2379)  0.00
Be (0.6470, 0.6423, 0.7621)  0.00
Yb (0.0000, 0.0000, 0.0000)  0.25

Space group: P-1
VASP energy in eV per atom: -3.452

ZrScIn2 | PBE | optimized geometry

Cell: 5.1958 5.1958 5.9985 Å, 82.35 82.35 35.95°
Fractional coordinates of all 4 atoms:
Zr (0.7500, 0.7500, 0.7500)
In (0.9997, 0.9997, 0.0008)
In (0.5003, 0.5003, 0.4992)
Sc (0.2500, 0.2500, 0.2500)

Space group: C2/m
Formation enthalpy at 0 K in meV/atom: -201
Excess energy over the best structure of this formula in the dataset in meV/atom: 171

CrAs4Au | PBE | optimized geometry

Cell: 5.5252 5.5252 5.5252 Å, 60.00 60.00 60.00°
Site moments in Bohr magnetons follow the coordinates.
Fractional coordinates of all 6 atoms:
As (0.3769, 0.3769, 0.8693)  -0.01
As (0.3769, 0.8693, 0.3769)  -0.01
As (0.3769, 0.3769, 0.3769)  -0.01
As (0.8693, 0.3769, 0.3769)  -0.01
Cr (0.0000, 0.0000, 0.0000)  3.91
Au (0.7500, 0.7500, 0.7500)  -0.02

Space group: F-43m
Formation enthalpy at 0 K in meV/atom: 553

Sr2MgAg | PBE | optimized geometry

Cell: 5.5549 5.5549 5.5549 Å, 60.00 60.00 60.00°
Fractional coordinates of all 4 atoms:
Mg (0.7500, 0.7500, 0.7500)
Ag (0.5000, 0.5000, 0.5000)
Sr (0.0000, 0.0000, 0.0000)
Sr (0.2500, 0.2500, 0.2500)

Space group: F-43m
Formation enthalpy at 0 K in meV/atom: 30

Tb12Tl6Ga | PBE | optimized geometry

Cell: 8.8132 8.8132 8.8132 Å, 99.56 99.56 99.56°
Fractional coordinates of all 19 atoms:
Tb (0.0436, 0.6813, 0.9341)
Tb (0.8159, 0.5711, 0.4330)
Tb (0.0659, 0.9564, 0.3187)
Tb (0.4330, 0.8159, 0.5711)
Tb (0.6813, 0.9341, 0.0436)
Tb (0.3187, 0.0659, 0.9564)
Tb (0.9341, 0.0436, 0.6813)
Tb (0.1841, 0.4289, 0.5670)
Tb (0.5670, 0.1841, 0.4289)
Tb (0.9564, 0.3187, 0.0659)
Tb (0.5711, 0.4330, 0.8159)
Tb (0.4289, 0.5670, 0.1841)
Ga (0.0000, 0.0000, 0.0000)
Tl (0.6206, 0.3033, 0.1320)
Tl (0.1320, 0.6206, 0.3033)
Tl (0.3794, 0.6967, 0.8680)
Tl (0.8680, 0.3794, 0.6967)
Tl (0.3033, 0.1320, 0.6206)
Tl (0.6967, 0.8680, 0.3794)

Space group: R-3
Formation enthalpy at 0 K in meV/atom: -18

Ce3CdCo | PBE | optimized geometry

Cell: 5.1557 5.1557 5.1557 Å, 90.00 90.00 90.00°
Site moments in Bohr magnetons follow the coordinates.
Fractional coordinates of all 5 atoms:
Ce (0.0000, 0.5000, 0.0000)  0.59
Ce (0.5000, 0.0000, 0.0000)  0.59
Ce (0.0000, 0.0000, 0.5000)  0.59
Cd (0.5000, 0.5000, 0.5000)  0.01
Co (0.0000, 0.0000, 0.0000)  -0.07

Space group: Pm-3m
Formation enthalpy at 0 K in meV/atom: -68
Excess energy over the best structure of this formula in the dataset in meV/atom: 50

Ba2InPb | PBE | optimized geometry

Cell: 4.9398 5.2251 7.0754 Å, 68.33 90.00 90.00°
Fractional coordinates of all 4 atoms:
In (0.0000, 0.6968, 0.4819)
Ba (0.5000, 0.2634, 0.3477)
Ba (0.0000, 0.9876, 0.9002)
Pb (0.5000, 0.5522, 0.7702)

Space group: Amm2
Formation enthalpy at 0 K in meV/atom: -506
Excess energy over the best structure of this formula in the dataset in meV/atom: 0

NpCr8C6 | PBE | optimized geometry

Cell: 5.8824 5.8824 11.0841 Å, 90.00 90.00 120.00°
Site moments in Bohr magnetons follow the coordinates.
Fractional coordinates of all 30 atoms:
Cr (0.3333, 0.6667, 0.4127)  0.07
Cr (0.0000, 0.5520, 0.1093)  -0.66
Cr (0.6667, 0.3333, 0.4127)  0.07
Cr (0.0000, 0.6891, 0.7642)  0.30
Cr (0.0000, 0.4480, 0.6093)  -0.66
Cr (0.3333, 0.6667, 0.9127)  0.07
Cr (0.3109, 0.3109, 0.7642)  0.30
Cr (0.6891, 0.0000, 0.7642)  0.30
Cr (0.4480, 0.0000, 0.6093)  -0.66
Cr (0.6667, 0.3333, 0.9127)  0.07
Cr (0.4480, 0.4480, 0.1093)  -0.66
Cr (0.0000, 0.3109, 0.2642)  0.30
Cr (0.6891, 0.6891, 0.2642)  0.30
Cr (0.5520, 0.0000, 0.1093)  -0.66
Cr (0.5520, 0.5520, 0.6093)  -0.66
Cr (0.3109, 0.0000, 0.2642)  0.30
C (0.0000, 0.6281, 0.9365)  -0.02
C (0.6667, 0.3333, 0.2247)  0.01
C (0.6281, 0.6281, 0.4365)  -0.02
C (0.0000, 0.3719, 0.4365)  -0.02
C (0.3333, 0.6667, 0.2247)  0.01
C (0.0000, 0.0000, 0.7331)  -0.05
C (0.3719, 0.0000, 0.4365)  -0.02
C (0.3719, 0.3719, 0.9365)  -0.02
C (0.6281, 0.0000, 0.9365)  -0.02
C (0.0000, 0.0000, 0.2331)  -0.05
C (0.6667, 0.3333, 0.7247)  0.01
C (0.3333, 0.6667, 0.7247)  0.01
Np (0.0000, 0.0000, 0.5078)  3.00
Np (0.0000, 0.0000, 0.0078)  3.00

Space group: P6_3cm
Formation enthalpy at 0 K in meV/atom: 174

BeFe2Ru | PBE | optimized geometry

Cell: 2.5482 2.5482 7.6712 Å, 90.00 90.00 110.32°
Site moments in Bohr magnetons follow the coordinates.
Fractional coordinates of all 4 atoms:
Ru (0.0000, 0.0000, 0.5194)  0.53
Fe (0.0000, 0.0000, 0.9845)  2.32
Fe (0.5000, 0.5000, 0.2398)  2.66
Be (0.5000, 0.5000, 0.7563)  -0.05

Space group: Cmm2
Formation enthalpy at 0 K in meV/atom: 78

BaY2Si | PBE | optimized geometry

Cell: 10.2948 10.2948 10.2948 Å, 23.26 23.26 23.26°
Site moments in Bohr magnetons follow the coordinates.
Fractional coordinates of all 4 atoms:
Y (0.0326, 0.0326, 0.0326)  0.02
Y (0.4674, 0.4674, 0.4674)  0.02
Ba (0.2500, 0.2500, 0.2500)  0.07
Si (0.7500, 0.7500, 0.7500)  0.01

Space group: R-3m
VASP energy in eV per atom: -5.264

YErBeCu | PBE | optimized geometry

Cell: 4.8550 4.8550 4.8550 Å, 60.00 60.00 60.00°
Fractional coordinates of all 4 atoms:
Cu (0.0000, 0.0000, 0.0000)
Er (0.2500, 0.2500, 0.2500)
Y (0.7500, 0.7500, 0.7500)
Be (0.5000, 0.5000, 0.5000)

Space group: F-43m
Formation enthalpy at 0 K in meV/atom: -76

PaAlTe2N | PBE | optimized geometry

Cell: 3.9985 3.9985 14.4352 Å, 90.00 90.00 90.00°
Fractional coordinates of all 10 atoms:
Te (0.5000, 0.0000, 0.3019)
Te (0.5000, 0.0000, 0.8976)
Te (0.0000, 0.5000, 0.6981)
Te (0.0000, 0.5000, 0.1024)
Al (0.0000, 0.5000, 0.9012)
Al (0.5000, 0.0000, 0.0988)
Pa (0.5000, 0.0000, 0.5798)
Pa (0.0000, 0.5000, 0.4202)
N (0.0000, 0.0000, 0.5000)
N (0.5000, 0.5000, 0.5000)

Space group: P4/nmm
VASP energy in eV per atom: -6.590

Pu4Hg5Pd2 | PBE | optimized geometry

Cell: 3.4761 7.8711 9.9601 Å, 94.89 90.00 90.00°
Site moments in Bohr magnetons follow the coordinates.
Fractional coordinates of all 11 atoms:
Pd (0.0000, 0.9320, 0.3625)  -0.07
Pd (0.0000, 0.0680, 0.6375)  -0.07
Hg (0.0000, 0.1794, 0.1530)  0.03
Hg (0.0000, 0.4489, 0.6847)  0.03
Hg (0.0000, 0.5511, 0.3153)  0.03
Hg (0.0000, 0.5000, 0.0000)  0.03
Hg (0.0000, 0.8206, 0.8470)  0.03
Pu (0.5000, 0.8266, 0.1349)  5.47
Pu (0.5000, 0.2406, 0.4421)  5.41
Pu (0.5000, 0.1734, 0.8651)  5.47
Pu (0.5000, 0.7594, 0.5579)  5.41

Space group: P2/m
Formation enthalpy at 0 K in meV/atom: -248